Entry 1:
Density functional theory data (PBE) for a relaxed YTm2Co crystal.

The value obtained for the volume is 23.6 Å³ per atom. The raw total energy comes out at -21.34 eV/f.u. The value obtained for the formation energy is 292 meV per atom.

It has space group R-3m (No. 166, hexagonal axes), with a = 5.1459 Å, b = 5.1459 Å, c = 12.3461 Å, α = 90.00°, β = 90.00° and γ = 120.00°. The asymmetric unit holds Y at (0.0000, 0.0000, 0.0000), Tm at (0.0000, 0.0000, 0.2530) and Co at (0.0000, 0.0000, 0.5000).

Entry 2:
Density functional theory data (PBE) for a relaxed RbBaZrO4 crystal.

The value obtained for the volume is 18.0 Å³ per atom. The raw total energy comes out at -48.45 eV/f.u. The value obtained for the energy relative to the elements, uncorrected is -237 kJ per mole of atoms.

It has space group I4mm (No. 107), with a = 4.259 Å, b = 4.259 Å, c = 13.895 Å, α = 90.00°, β = 90.00° and γ = 90.00°. The asymmetric unit holds Rb at (0.000, 0.000, 0.000), Ba at (0.000, 0.000, 0.296), Zr at (0.000, 0.000, 0.644), O at (0.000, 0.000, 0.497), O at (0.000, 0.000, 0.801) and O at (0.000, 0.500, 0.160).

Entry 3:
Density functional theory data (PBE) for a relaxed ZnNi3Pt crystal.

The value obtained for the volume is 12.6 Å³ per atom. The raw total energy comes out at -25.11 eV/f.u. The value obtained for the formation energy is -90 meV per atom.

It has space group P-1 (No. 2), with a = 2.668 Å, b = 6.566 Å, c = 7.805 Å, α = 71.83°, β = 80.25° and γ = 78.40°. The asymmetric unit holds Zn at (0.051, 0.079, 0.320), Ni at (0.109, 0.503, 0.776), Ni at (0.260, 0.106, 0.873), Ni at (0.422, 0.699, 0.955) and Pt at (0.342, 0.297, 0.522).

Entry 4:
Density functional theory data (PBE) for a relaxed UBeCoC crystal.

The value obtained for the volume is 12.2 Å³ per atom. The raw total energy comes out at -31.78 eV/f.u. The value obtained for the formation energy is -109 meV per atom.

It has space group P4/nmm (No. 129, origin choice 2), with a = 3.592 Å, b = 3.592 Å, c = 7.572 Å, α = 90.00°, β = 90.00° and γ = 90.00°. The asymmetric unit holds U at (0.250, 0.250, 0.178), Be at (0.250, 0.250, 0.654), Co at (0.250, 0.750, 0.500) and C at (0.250, 0.250, 0.882).